# LaIn2Br

A geometry-optimized LaIn2Br structure (GGA-PBE, the Alexandria database).

a b c (Å): 5.3862 5.3862 5.3862
angles (deg): 60.00 60.00 60.00
Closest atoms and distances in Å follow each position.
Atoms (fractional coordinates):
La1 0.0000 0.0000 0.0000  4 In 3.30, 4 Br 3.30
In1 0.5000 0.5000 0.5000  4 In 3.30, 4 Br 3.30
In2 0.7500 0.7500 0.7500  4 In 3.30, 4 La 3.30
Br1 0.2500 0.2500 0.2500  4 La 3.30, 4 In 3.30

The energy relative to the lowest polymorph listed for this composition comes out at 55 meV/atom. The electronic total energy is -3.627 eV per atom. The crystal system is cubic. Its space group is F-43m (216). The value obtained for the uncorrected formation energy is -0.608 eV/atom.